Here is an optimized crystal structure of Cs5Mo2O6 from the Alexandria database. Energies are from PBE+U.

total energy: -132.4 eV per cell
mass density: 4.4 Mg/m³

a b c (Å): 7.1399 7.1399 15.3480
angles (deg): 83.77 83.77 67.45
Each line ends with the local moment (μB).
Element x y z (fractional)
Mo: 0.3444 0.1004 0.5758  0.48
Mo: 0.1004 0.3444 0.0758  0.48
Mo: 0.6556 0.8996 0.4242  0.48
Mo: 0.8996 0.6556 0.9242  0.48
O: 0.1818 0.4879 0.9638  -0.01
O: 0.0402 0.1241 0.1319  -0.01
O: 0.1241 0.0402 0.6319  -0.01
O: 0.2971 0.3560 0.1455  -0.01
O: 0.8182 0.5121 0.0362  -0.01
O: 0.3560 0.2971 0.6455  -0.01
O: 0.5121 0.8182 0.5362  -0.01
O: 0.9598 0.8759 0.8681  -0.01
O: 0.4879 0.1818 0.4638  -0.01
O: 0.6440 0.7029 0.3545  -0.01
O: 0.7029 0.6440 0.8545  -0.01
O: 0.8759 0.9598 0.3681  -0.01
Cs: 0.3495 0.7801 0.0167  0.00
Cs: 0.6505 0.2199 0.9833  0.00
Cs: 0.7801 0.3495 0.5167  0.00
Cs: 0.6285 0.3715 0.2500  0.00
Cs: 0.8989 0.7861 0.1977  0.00
Cs: 0.2199 0.6505 0.4833  0.00
Cs: 0.3715 0.6285 0.7500  0.00
Cs: 0.2139 0.1011 0.3023  0.00
Cs: 0.1011 0.2139 0.8023  0.00
Cs: 0.7861 0.8989 0.6977  0.00